HfCo2PO after structural relaxation. Source: Alexandria via LeMat-Bulk, functional GGA+U.

abc: 4.9692 4.9692 3.8546
angles: 90.00 90.00 90.00
Fractional positions:
Hf  0.0000  0.0000  0.0000
Co  0.0000  0.5000  0.0000
Co  0.5000  0.0000  0.0000
P  0.5000  0.5000  0.5000
O  0.0000  0.0000  0.5000

- VASP energy: -5.61 eV/atom
- Theoretical density: 5.990 g/cm3
- Crystal system: tetragonal
- Space group: No. 123
- Density of states at the Fermi level: 2.61 states/eV/f.u.
- Volume: 19.04 Å³/atom

=====

HfCoP2O after structural relaxation. Source: Alexandria via LeMat-Bulk, functional GGA+U.

abc: 4.5858 4.5858 3.4905
angles: 90.00 90.00 90.00
Fractional positions:
Hf  0.0000  0.0000  0.0000
Co  0.5000  0.5000  0.5000
P  0.0000  0.5000  0.5000
P  0.5000  0.0000  0.5000
O  0.5000  0.5000  0.0000

- Theoretical density: 7.134 g/cm3
- Crystal system: tetragonal
- Space group: No. 123
- Energy above the most stable polymorph in this dataset: 0 meV/atom
- Density of states at the Fermi level: 1.97 states/eV/f.u.
- Volume: 14.68 Å³/atom

=====

HfCoPO2 after structural relaxation. Source: Alexandria via LeMat-Bulk, functional GGA+U.

abc: 3.7761 3.7761 4.4387
angles: 90.00 90.00 90.00
Fractional positions:
Hf  0.0000  0.0000  0.0000
Co  0.5000  0.5000  0.5000
P  0.5000  0.5000  0.0000
O  0.0000  0.5000  0.5000
O  0.5000  0.0000  0.5000

- Theoretical density: 7.881 g/cm3
- Crystal system: tetragonal
- Space group: No. 123
- Energy above the most stable polymorph in this dataset: 447 meV/atom
- Density of states at the Fermi level: 1.39 states/eV/f.u.
- Volume: 12.66 Å³/atom

=====

HfCoPO2 after structural relaxation. Source: Alexandria via LeMat-Bulk, functional GGA+U.

abc: 3.9518 3.9518 5.5777
angles: 90.00 90.00 90.00
Fractional positions:
Hf  0.0000  0.0000  0.0000
Co  0.5000  0.5000  0.5000
P  0.0000  0.0000  0.5000
O  0.0000  0.5000  0.0000
O  0.5000  0.0000  0.0000

- Theoretical density: 5.727 g/cm3
- Crystal system: tetragonal
- Space group: No. 123
- Energy above the most stable polymorph in this dataset: 0 meV/atom
- Density of states at the Fermi level: 2.29 states/eV/f.u.
- Volume: 17.42 Å³/atom